1:
Computed, not measured: crystalline Sm4CrS7 at its relaxed geometry at the GGA-PBE level of DFT.

Structure (POSCAR):
```
Sm4CrS7
1.0
-5.801 1.594 8.628
0.785 -9.655 -4.100
5.323 -1.180 3.797
Sm Cr S
8 2 14
Direct
0.000 0.000 0.822
0.000 0.000 0.322
0.876 0.298 0.825
0.702 0.578 0.825
0.422 0.124 0.825
0.124 0.702 0.325
0.298 0.422 0.325
0.578 0.876 0.325
0.667 0.333 0.409
0.333 0.667 0.909
0.819 0.055 0.073
0.945 0.764 0.073
0.236 0.181 0.073
0.181 0.945 0.573
0.055 0.236 0.573
0.764 0.819 0.573
0.631 0.117 0.574
0.883 0.514 0.574
0.486 0.369 0.574
0.369 0.883 0.074
0.117 0.486 0.074
0.514 0.631 0.074
0.667 0.333 0.047
0.333 0.667 0.547
```

Properties
density of states at the Fermi level: 6.89 states/eV/f.u.
SG: P6_3, No. 173
spin magnetization: 3.89 μB/f.u.


2:
Computed, not measured: crystalline Sm4CrS7 at its relaxed geometry at the GGA-PBE level of DFT.

Structure (POSCAR):
```
Sm4CrS7
1.0
7.706 1.147 -5.891
-8.943 2.357 -3.142
0.842 6.297 2.328
Sm Cr S
8 2 14
Direct
0.333 0.667 0.164
0.667 0.333 0.664
0.376 0.218 0.214
0.782 0.159 0.214
0.624 0.782 0.714
0.841 0.624 0.214
0.218 0.841 0.714
0.159 0.376 0.714
0.000 0.000 0.047
0.000 0.000 0.547
0.512 0.072 0.453
0.928 0.441 0.453
0.488 0.928 0.953
0.559 0.488 0.453
0.072 0.559 0.953
0.441 0.512 0.953
0.333 0.667 0.551
0.667 0.333 0.051
0.103 0.233 0.312
0.767 0.870 0.312
0.897 0.767 0.812
0.130 0.897 0.312
0.233 0.130 0.812
0.870 0.103 0.812
```

Properties
density of states at the Fermi level: 3.10 states/eV/f.u.
SG: P6_3, No. 173
spin magnetization: 4.00 μB/f.u.


The structure with the least stability is 1.


1:
Computed, not measured: crystalline Cr2SnS at its relaxed geometry at the GGA-PBE level of DFT.

Structure (POSCAR):
```
Cr2SnS
1.0
-3.276 -0.684 -4.762
4.466 -2.574 -2.703
-1.141 -6.651 -1.817
Cr S Sn
4 2 2
Direct
0.560 0.125 0.250
0.190 0.625 0.250
0.375 0.440 0.750
0.875 0.810 0.750
0.500 0.500 0.000
0.250 0.750 0.500
0.000 0.000 0.000
0.750 0.250 0.500
```

Properties
density of states at the Fermi level: 5.69 states/eV/f.u.
SG: I-42d, No. 122
spin magnetization: 6.64 μB/f.u.


2:
Computed, not measured: crystalline Cr2SnS at its relaxed geometry at the GGA-PBE level of DFT.

Structure (POSCAR):
```
Cr2SnS
1.0
0.000 3.110 3.110
3.110 0.000 3.110
3.110 3.110 0.000
Cr S Sn
2 1 1
Direct
0.250 0.250 0.250
0.750 0.750 0.750
0.000 0.000 0.000
0.500 0.500 0.500
```

Properties
density of states at the Fermi level: 3.14 states/eV/f.u.
SG: Fm-3m, No. 225
spin magnetization: 2.84 μB/f.u.


The structure with the least stability is 2.


1:
Computed, not measured: crystalline TaCrS2 at its relaxed geometry at the GGA-PBE level of DFT.

Structure (POSCAR):
```
TaCrS2
1.0
0.061 -7.514 3.238
2.239 -7.772 1.235
2.811 -6.615 3.910
Cr S Ta
1 2 1
Direct
0.500 0.500 0.500
0.897 0.897 0.897
0.103 0.103 0.103
0.000 0.000 0.000
```

Properties
density of states at the Fermi level: 3.02 states/eV/f.u.
SG: R-3m, No. 166
spin magnetization: 0.00 μB/f.u.


2:
Computed, not measured: crystalline TaCrS2 at its relaxed geometry at the GGA-PBE level of DFT.

Structure (POSCAR):
```
TaCrS2
1.0
0.000 3.055 3.055
3.055 0.000 3.055
3.055 3.055 0.000
Cr S Ta
1 2 1
Direct
0.000 0.000 0.000
0.250 0.250 0.250
0.750 0.750 0.750
0.500 0.500 0.500
```

Properties
density of states at the Fermi level: 0.33 states/eV/f.u.
SG: Fm-3m, No. 225
spin magnetization: 3.00 μB/f.u.


The structure with the least stability is 1.


1:
Computed, not measured: crystalline Ta3CrS6 at its relaxed geometry at the GGA-PBE level of DFT.

Structure (POSCAR):
```
Ta3CrS6
1.0
-3.919 1.184 4.056
-0.558 -4.723 -3.255
6.512 -6.390 8.157
Ta Cr S
6 2 12
Direct
0.000 0.000 0.500
0.000 0.000 0.000
0.333 0.667 0.998
0.667 0.333 0.002
0.667 0.333 0.498
0.333 0.667 0.502
0.333 0.667 0.250
0.667 0.333 0.750
0.332 0.333 0.371
0.667 0.999 0.371
0.001 0.668 0.371
0.333 0.332 0.629
0.999 0.667 0.629
0.668 0.001 0.629
0.668 0.667 0.871
0.333 0.001 0.871
0.999 0.332 0.871
0.667 0.668 0.129
0.001 0.333 0.129
0.332 0.999 0.129
```

Properties
density of states at the Fermi level: 1.84 states/eV/f.u.
SG: P6_322, No. 182
spin magnetization: 3.02 μB/f.u.


2:
Computed, not measured: crystalline Ta3CrS6 at its relaxed geometry at the GGA-PBE level of DFT.

Structure (POSCAR):
```
Ta3CrS6
1.0
7.741 1.382 1.413
1.213 7.769 1.413
1.213 1.240 7.798
Ta Cr S
6 2 12
Direct
0.360 0.884 0.733
0.884 0.733 0.360
0.267 0.640 0.116
0.733 0.360 0.884
0.116 0.267 0.640
0.640 0.116 0.267
0.000 0.000 0.000
0.500 0.500 0.500
0.311 0.935 0.030
0.065 0.970 0.689
0.542 0.824 0.420
0.970 0.689 0.065
0.420 0.542 0.824
0.176 0.580 0.458
0.824 0.420 0.542
0.580 0.458 0.176
0.030 0.311 0.935
0.458 0.176 0.580
0.935 0.030 0.311
0.689 0.065 0.970
```

Properties
density of states at the Fermi level: 7.05 states/eV/f.u.
SG: R-3, No. 148
spin magnetization: 1.84 μB/f.u.


The structure with the least stability is 2.